Record 1
Material: LiMo2Au
Method: DFT, GGA-PBEsol
State: relaxed

Unit cell a=3.2712 b=4.5629 c=8.1929 alpha=90.00 beta=90.00 gamma=90.00
Last column: nearest neighbours and their distance in Å.
Space group Imm2 (No. 44)
Symmetry-distinct sites (fractional):
Li 0.0000 0.0000 0.0000 x2  2 Au 2.56, 6 Mo 2.73-2.81
Mo 0.0000 0.0000 0.4824 x2  2 Mo 2.41
Mo 0.0000 0.5000 0.7667 x2  2 Mo 2.41
Au 0.0000 0.5000 0.2590 x2  2 Li 2.56, 6 Mo 2.80-2.81

- Energy of formation: 0.278 eV/atom
- DFT total energy: -7.078 eV per atom
- N(E_F): 5.800 states/eV/cell
- Size of the total moment: 0.00 μB/f.u.


Record 2
Material: LiMo3Au
Method: DFT, GGA-PBEsol
State: relaxed

Unit cell a=4.8288 b=4.8288 c=4.8288 alpha=90.00 beta=90.00 gamma=90.00
Last column: nearest neighbours and their distance in Å.
Space group Pm-3m (No. 221)
Symmetry-distinct sites (fractional):
Li 0.0000 0.0000 0.0000 x1  12 Mo 3.41
Mo 0.0000 0.5000 0.5000 x3  2 Au 2.41
Au 0.5000 0.5000 0.5000 x1  6 Mo 2.41

- Energy of formation: 2.302 eV/atom
- DFT total energy: -5.937 eV per atom
- N(E_F): 7.926 states/eV/cell
- Size of the total moment: 0.00 μB/f.u.


Record 3
Material: Li2MoAu
Method: DFT, GGA-PBEsol
State: relaxed

Unit cell a=2.6105 b=4.6064 c=5.0181 alpha=90.00 beta=92.25 gamma=90.00
Last column: nearest neighbours and their distance in Å.
Space group P2/m (No. 10)
Symmetry-distinct sites (fractional):
Li 0.1450 0.0000 0.2453 x2  4 Li 2.55-2.69, 2 Au 2.67, 2 Mo 2.79
Mo 0.5000 0.5000 0.0000 x1  2 Mo 2.61, 4 Au 2.78-2.87, 4 Li 2.79
Au 0.0000 0.5000 0.5000 x1  2 Au 2.61, 4 Li 2.67, 4 Mo 2.78-2.87

- Energy of formation: 0.165 eV/atom
- DFT total energy: -4.742 eV per atom
- N(E_F): 3.096 states/eV/cell
- Size of the total moment: 0.69 μB/f.u.


Record 4
Material: Li3AuN
Method: DFT, GGA-PBEsol
State: relaxed

Unit cell a=3.9173 b=3.9173 c=3.9173 alpha=90.00 beta=90.00 gamma=90.00
Last column: nearest neighbours and their distance in Å.
Space group Pm-3m (No. 221)
Symmetry-distinct sites (fractional):
Li 0.0000 0.0000 0.5000 x3  2 N 1.96
Au 0.5000 0.5000 0.5000 x1  12 Li 2.77
N 0.0000 0.0000 0.0000 x1  6 Li 1.96

- DFT total energy: -3.889 eV per atom
- N(E_F): 1.906 states/eV/cell
- Formation energy without anion corrections: -219 meV per atom
- Size of the total moment: 0.00 μB/f.u.


Record 5
Material: Na3LiAu
Method: DFT, GGA-PBEsol
State: relaxed

Unit cell a=5.2588 b=5.2588 c=5.2588 alpha=90.00 beta=90.00 gamma=90.00
Last column: nearest neighbours and their distance in Å.
Space group Pm-3m (No. 221)
Symmetry-distinct sites (fractional):
Na 0.0000 0.0000 0.5000 x3  2 Li 2.63
Li 0.0000 0.0000 0.0000 x1  6 Na 2.63
Au 0.5000 0.5000 0.5000 x1  12 Na 3.72

- Energy of formation: 0.413 eV/atom
- DFT total energy: -1.605 eV per atom
- N(E_F): 2.287 states/eV/cell
- Size of the total moment: 0.00 μB/f.u.


Record 6
Material: NaLi2Au2
Method: DFT, GGA-PBEsol
State: relaxed

Unit cell a=4.0226 b=4.0226 c=12.0072 alpha=90.00 beta=90.00 gamma=90.00
Last column: nearest neighbours and their distance in Å.
Space group I4/mmm (No. 139)
Symmetry-distinct sites (fractional):
Na 0.0000 0.0000 0.0000 x2  8 Au 3.15
Li 0.0000 0.5000 0.2500 x4  4 Au 2.61, 4 Li 2.84
Au 0.0000 0.0000 0.3879 x4  4 Li 2.61, 1 Au 2.69

- Energy of formation: -0.296 eV/atom
- DFT total energy: -2.932 eV per atom
- N(E_F): 2.889 states/eV/cell
- Size of the total moment: 0.00 μB/f.u.


Record 7
Material: Na2Li2Au
Method: DFT, GGA-PBEsol
State: relaxed

Unit cell a=6.6858 b=6.6858 c=5.0163 alpha=90.00 beta=90.00 gamma=90.00
Last column: nearest neighbours and their distance in Å.
Space group P4/mbm (No. 127)
Symmetry-distinct sites (fractional):
Na 0.1867 0.3133 0.0000 x4  2 Li 2.95
Li 0.1497 0.6497 0.5000 x4  2 Au 2.55, 1 Li 2.83
Au 0.0000 0.0000 0.5000 x2  4 Li 2.55

- Energy of formation: -0.122 eV/atom
- DFT total energy: -2.253 eV per atom
- N(E_F): 3.638 states/eV/cell
- Size of the total moment: 0.00 μB/f.u.


Record 8
Material: NaLi2Au2
Method: DFT, GGA-PBEsol
State: relaxed

Unit cell a=7.8751 b=7.8751 c=2.7694 alpha=90.00 beta=90.00 gamma=90.00
Last column: nearest neighbours and their distance in Å.
Space group P4/mbm (No. 127)
Symmetry-distinct sites (fractional):
Na 0.0000 0.0000 0.0000 x2  2 Na 2.77, 4 Au 3.01
Li 0.1440 0.3560 0.5000 x4  6 Au 2.69-2.70, 2 Li 2.77
Au 0.1482 0.6482 0.0000 x4  6 Li 2.69-2.70, 2 Au 2.77, 2 Na 3.01

- Energy of formation: -0.383 eV/atom
- DFT total energy: -3.020 eV per atom
- N(E_F): 2.140 states/eV/cell
- Size of the total moment: 0.00 μB/f.u.


Record 9
Material: NaLi2Au
Method: DFT, GGA-PBEsol
State: relaxed

Unit cell a=6.5455 b=6.5455 c=6.5455 alpha=90.00 beta=90.00 gamma=90.00
Last column: nearest neighbours and their distance in Å.
Space group Fm-3m (No. 225)
Symmetry-distinct sites (fractional):
Na 0.0000 0.0000 0.0000 x4  8 Li 2.83
Li 0.2500 0.2500 0.2500 x8  4 Na 2.83, 4 Au 2.83
Au 0.0000 0.0000 0.5000 x4  8 Li 2.83

- Energy of formation: -0.265 eV/atom
- DFT total energy: -2.579 eV per atom
- N(E_F): 5.480 states/eV/cell
- Size of the total moment: 0.00 μB/f.u.


Record 10
Material: NaLiAu3
Method: DFT, GGA-PBEsol
State: relaxed

Unit cell a=4.5450 b=4.5450 c=4.5450 alpha=90.00 beta=90.00 gamma=90.00
Last column: nearest neighbours and their distance in Å.
Space group Pm-3m (No. 221)
Symmetry-distinct sites (fractional):
Na 0.0000 0.0000 0.0000 x1  12 Au 3.21
Li 0.5000 0.5000 0.5000 x1  6 Au 2.27
Au 0.0000 0.5000 0.5000 x3  2 Li 2.27

- Energy of formation: 0.079 eV/atom
- DFT total energy: -2.949 eV per atom
- N(E_F): 1.310 states/eV/cell
- Size of the total moment: 0.00 μB/f.u.


Record 11
Material: Na2LiAu2
Method: DFT, GGA-PBEsol
State: relaxed

Unit cell a=6.7687 b=6.7687 c=4.6354 alpha=90.00 beta=90.00 gamma=90.00
Last column: nearest neighbours and their distance in Å.
Space group P4/mbm (No. 127)
Symmetry-distinct sites (fractional):
Na 0.1649 0.3351 0.0000 x4  6 Au 2.97-3.11, 1 Na 3.16
Li 0.0000 0.0000 0.5000 x2  4 Au 2.61
Au 0.1409 0.6409 0.5000 x4  2 Li 2.61, 1 Au 2.70

- Energy of formation: -0.227 eV/atom
- DFT total energy: -2.749 eV per atom
- N(E_F): 2.094 states/eV/cell
- Size of the total moment: 0.00 μB/f.u.


Record 12
Material: Na2LiAu3
Method: DFT, GGA-PBEsol
State: relaxed

Unit cell a=5.5090 b=5.5090 c=8.6509 alpha=90.00 beta=90.00 gamma=120.00
Last column: nearest neighbours and their distance in Å.
Space group P6_3/mmc (No. 194)
Symmetry-distinct sites (fractional):
Na 0.3333 0.6667 0.0689 x4  4 Na 3.13-3.40, 9 Au 3.17-3.18, 3 Li 3.24
Li 0.0000 0.0000 0.0000 x2  6 Au 2.69
Au 0.1679 0.3358 0.7500 x6  2 Li 2.69, 4 Au 2.73-2.78

- Energy of formation: -0.382 eV/atom
- DFT total energy: -3.138 eV per atom
- N(E_F): 2.718 states/eV/cell
- Size of the total moment: 0.00 μB/f.u.


no.,calculated volume (Å³/cell)
1,122.3
2,112.6
3,60.3
4,60.1
5,145.4
6,194.3
7,224.2
8,171.8
9,280.4
10,93.9
11,212.4
12,227.4